# 1
Here is CaEr2Se3 after structural relaxation from Alexandria. Energies are from GGA-PBE.

Unit cell a=7.0920 b=7.0920 c=7.0920 alpha=146.72 beta=132.07 gamma=59.60
With the nearest neighbours (Å) after each atom.
Positions (direct):
Ca: 0.0000 0.0000 0.0000  6 Se 2.88-2.91
Er: 0.3357 0.3357 0.0000  6 Se 2.87-2.88
Er: 0.6643 0.6643 0.0000  6 Se 2.87-2.88
Se: 0.1697 0.6697 0.5000  4 Er 2.88, 2 Ca 2.91
Se: 0.5000 0.0000 0.5000  4 Er 2.87, 2 Ca 2.88
Se: 0.8303 0.3303 0.5000  4 Er 2.88, 2 Ca 2.91

## Properties
Calculated total energy   -32.33 eV per cell

***

# 2
Here is Nd5Ho6Th after structural relaxation from Alexandria. Energies are from GGA-PBE.

Unit cell a=6.2469 b=6.2469 c=11.7931 alpha=95.07 beta=95.07 gamma=119.98
With the nearest neighbours (Å) after each atom.
Positions (direct):
Nd: 0.0000 0.0000 0.0000  6 Ho 3.58-3.61, 6 Nd 3.60-3.61
Nd: 0.1667 0.8333 0.5000  6 Ho 3.56, 3 Nd 3.61, 3 Th 3.61
Nd: 0.3328 0.6672 0.0000  6 Ho 3.58-3.60, 6 Nd 3.60-3.62
Nd: 0.6672 0.3328 0.0000  6 Ho 3.58-3.60, 6 Nd 3.60-3.62
Nd: 0.8333 0.1667 0.5000  6 Ho 3.56, 3 Nd 3.61, 3 Th 3.61
Ho: 0.0877 0.4173 0.2518  1 Th 3.54, 5 Nd 3.56-3.60, 6 Ho 3.56-3.63
Ho: 0.2535 0.2535 0.7481  1 Th 3.54, 5 Nd 3.56-3.61, 6 Ho 3.56-3.63
Ho: 0.4173 0.0877 0.2518  1 Th 3.54, 5 Nd 3.56-3.60, 6 Ho 3.56-3.63
Ho: 0.5827 0.9123 0.7482  1 Th 3.54, 5 Nd 3.56-3.60, 6 Ho 3.56-3.63
Ho: 0.7465 0.7465 0.2519  1 Th 3.54, 5 Nd 3.56-3.61, 6 Ho 3.56-3.63
Ho: 0.9123 0.5827 0.7482  1 Th 3.54, 5 Nd 3.56-3.60, 6 Ho 3.56-3.63
Th: 0.5000 0.5000 0.5000  6 Ho 3.54, 6 Nd 3.61

## Properties
Calculated total energy   -58.45 eV per cell
Energy of formation from the pure elements   23 meV/atom

***

# 3
Here is Li2Cd2Cl after structural relaxation from Alexandria. Energies are from GGA-PBE.

Unit cell a=6.4038 b=6.4038 c=5.5886 alpha=90.00 beta=90.00 gamma=90.00
With the nearest neighbours (Å) after each atom.
Positions (direct):
Li: 0.1741 0.3259 0.0000  2 Cl 2.37
Li: 0.3259 0.8259 0.0000  2 Cl 2.37
Li: 0.6741 0.1741 0.0000  2 Cl 2.37
Li: 0.8259 0.6741 0.0000  2 Cl 2.37
Cd: 0.1620 0.6620 0.5000  1 Cd 2.93, 2 Li 3.16
Cd: 0.3380 0.1620 0.5000  1 Cd 2.93, 2 Li 3.16
Cd: 0.6620 0.8380 0.5000  1 Cd 2.93, 2 Li 3.16
Cd: 0.8380 0.3380 0.5000  1 Cd 2.93, 2 Li 3.16
Cl: 0.0000 0.0000 0.0000  4 Li 2.37
Cl: 0.5000 0.5000 0.0000  4 Li 2.37

## Properties
Calculated total energy   -19.95 eV per cell
Energy relative to the lowest polymorph listed for this composition   0 meV/atom

***

# 4
Here is AgTeBr2 after structural relaxation from Alexandria. Energies are from GGA-PBE.

Unit cell a=5.0356 b=4.5626 c=5.0500 alpha=90.00 beta=91.80 gamma=90.00
With the nearest neighbours (Å) after each atom.
Positions (direct):
Ag: 0.0000 0.0000 0.0000  4 Br 2.90
Te: 0.5000 0.0000 0.5000  4 Br 2.92
Br: 0.2483 0.5000 0.7517  2 Ag 2.90, 2 Te 2.92
Br: 0.7517 0.5000 0.2483  2 Ag 2.90, 2 Te 2.92

## Properties
Calculated total energy   -9.14 eV per cell
Energy relative to the lowest polymorph listed for this composition   216 meV/atom

***

# 5
Here is YCo2B after structural relaxation from Alexandria. Energies are from GGA-PBE.

Unit cell a=5.9186 b=3.7043 c=9.7889 alpha=90.00 beta=90.00 gamma=90.00
With the nearest neighbours (Å) after each atom.
Positions (direct):
Y: 0.1457 0.2500 0.1193  8 Co 2.77-3.07, 2 B 2.81
Y: 0.3543 0.7500 0.6193  8 Co 2.77-3.07, 2 B 2.81
Y: 0.6457 0.2500 0.3807  8 Co 2.77-3.07, 2 B 2.81
Y: 0.8543 0.7500 0.8807  8 Co 2.77-3.07, 2 B 2.81
Co: 0.1103 0.2500 0.4318  3 B 2.01-2.04
Co: 0.1813 0.2500 0.8022  2 B 2.00-2.04
Co: 0.3187 0.7500 0.3022  2 B 2.00-2.04
Co: 0.3897 0.7500 0.9318  3 B 2.01-2.04
Co: 0.6103 0.2500 0.0682  3 B 2.01-2.04
Co: 0.6813 0.2500 0.6978  2 B 2.00-2.04
Co: 0.8187 0.7500 0.1978  2 B 2.00-2.04
Co: 0.8897 0.7500 0.5682  3 B 2.01-2.04
B: 0.0021 0.7500 0.3744  5 Co 2.00-2.04
B: 0.4979 0.2500 0.8744  5 Co 2.00-2.04
B: 0.5021 0.7500 0.1256  5 Co 2.00-2.04
B: 0.9979 0.2500 0.6256  5 Co 2.00-2.04

## Properties
Calculated total energy   -114.49 eV per cell
Energy of formation from the pure elements   -317 meV/atom

***

# 6
Here is MnSiH2 after structural relaxation from Alexandria. Energies are from GGA-PBE.

Unit cell a=6.1889 b=6.1889 c=6.1889 alpha=147.37 beta=147.37 gamma=46.82
With the nearest neighbours (Å) after each atom.
Positions (direct):
Mn: 0.0000 0.0000 0.0000  4 H 1.80
Mn: 0.7500 0.2500 0.5000  4 H 1.80
Si: 0.2500 0.7500 0.5000  4 H 1.98
Si: 0.5000 0.5000 0.0000  4 H 1.98
H: 0.0688 0.6250 0.9438  2 Mn 1.80, 2 Si 1.98
H: 0.3750 0.3188 0.4438  2 Mn 1.80, 2 Si 1.98
H: 0.6812 0.1250 0.0562  2 Mn 1.80, 2 Si 1.98
H: 0.8750 0.9312 0.5562  2 Mn 1.80, 2 Si 1.98

## Properties
Calculated total energy   -39.81 eV per cell
Energy relative to the lowest polymorph listed for this composition   0 meV/atom

***

# 7
Here is BaZn3Rh after structural relaxation from Alexandria. Energies are from GGA-PBE.

Unit cell a=4.3673 b=6.1497 c=8.7809 alpha=105.13 beta=104.34 gamma=90.07
With the nearest neighbours (Å) after each atom.
Positions (direct):
Ba: 0.0000 0.0000 0.0000  10 Zn 3.26-3.65, 3 Rh 3.27-3.38
Ba: 0.2846 0.6185 0.5680  7 Zn 3.26-3.65, 2 Rh 3.28-3.53
Zn: 0.0886 0.5865 0.1783  3 Rh 2.56-2.83, 3 Zn 2.58-2.69
Zn: 0.3654 0.1956 0.7313  2 Rh 2.59-2.81, 4 Zn 2.61-2.68
Zn: 0.6380 0.8039 0.2763  4 Zn 2.58-2.81, 3 Rh 2.63-2.64
Zn: 0.6426 0.2632 0.2849  3 Rh 2.60-2.88, 2 Zn 2.64-2.81
Zn: 0.7783 0.1357 0.5568  2 Rh 2.59, 5 Zn 2.61-2.69
Zn: 0.9253 0.4356 0.8509  4 Zn 2.68-2.69, 2 Rh 2.69
Rh: 0.1949 0.0300 0.3897  8 Zn 2.59-2.88
Rh: 0.5167 0.4297 0.0342  7 Zn 2.56-2.69

## Properties
Calculated total energy   -29.17 eV per cell
Energy relative to the lowest polymorph listed for this composition   59 meV/atom
Energy of formation from the pure elements   -297 meV/atom

***

# 8
Here is NiTeRu after structural relaxation from Alexandria. Energies are from GGA-PBE.

Unit cell a=4.2373 b=4.2373 c=4.2373 alpha=60.00 beta=60.00 gamma=60.00
With the nearest neighbours (Å) after each atom.
Positions (direct):
Ni: 0.0000 0.0000 0.0000  4 Ru 2.59
Te: 0.5000 0.5000 0.5000  4 Ru 2.59
Ru: 0.2500 0.2500 0.2500  4 Ni 2.59, 4 Te 2.59

## Properties
Calculated total energy   -17.76 eV per cell
Energy relative to the lowest polymorph listed for this composition   0 meV/atom

***

# 9
Here is SmSc2Te after structural relaxation from Alexandria. Energies are from GGA-PBE.

Unit cell a=14.9554 b=9.1511 c=6.1590 alpha=90.00 beta=90.00 gamma=90.00
With the nearest neighbours (Å) after each atom.
Positions (direct):
Sm: 0.1103 0.2500 0.2102  3 Te 3.17-3.26, 4 Sc 3.40-3.46
Sm: 0.1300 0.7500 0.9913  3 Te 3.10-3.33, 6 Sc 3.34-3.47
Sm: 0.3700 0.2500 0.4913  3 Te 3.10-3.33, 6 Sc 3.34-3.47
Sm: 0.3897 0.7500 0.7102  3 Te 3.17-3.26, 4 Sc 3.40-3.46
Sm: 0.6103 0.2500 0.2898  3 Te 3.17-3.26, 4 Sc 3.40-3.46
Sm: 0.6300 0.7500 0.5087  3 Te 3.10-3.33, 6 Sc 3.34-3.47
Sm: 0.8700 0.2500 0.0087  3 Te 3.10-3.33, 6 Sc 3.34-3.47
Sm: 0.8897 0.7500 0.7898  3 Te 3.17-3.26, 4 Sc 3.40-3.46
Sc: 0.0325 0.0383 0.7582  3 Te 2.96-3.09, 1 Sc 3.21
Sc: 0.0325 0.4617 0.7582  3 Te 2.96-3.09, 1 Sc 3.21
Sc: 0.2169 0.5347 0.4746  3 Te 2.98-3.03, 3 Sc 3.30-3.33
Sc: 0.2169 0.9653 0.4746  3 Te 2.98-3.03, 3 Sc 3.30-3.33
Sc: 0.2831 0.0347 0.9746  3 Te 2.98-3.03, 3 Sc 3.30-3.33
Sc: 0.2831 0.4653 0.9746  3 Te 2.98-3.03, 3 Sc 3.30-3.33
Sc: 0.4675 0.5383 0.2582  3 Te 2.96-3.09, 1 Sc 3.21
Sc: 0.4675 0.9617 0.2582  3 Te 2.96-3.09, 1 Sc 3.21
Sc: 0.5325 0.0383 0.7418  3 Te 2.96-3.09, 1 Sc 3.21
Sc: 0.5325 0.4617 0.7418  3 Te 2.96-3.09, 1 Sc 3.21
Sc: 0.7169 0.5347 0.0254  3 Te 2.98-3.03, 3 Sc 3.30-3.33
Sc: 0.7169 0.9653 0.0254  3 Te 2.98-3.03, 3 Sc 3.30-3.33
Sc: 0.7831 0.0347 0.5254  3 Te 2.98-3.03, 3 Sc 3.30-3.33
Sc: 0.7831 0.4653 0.5254  3 Te 2.98-3.03, 3 Sc 3.30-3.33
Sc: 0.9675 0.5383 0.2418  3 Te 2.96-3.09, 1 Sc 3.21
Sc: 0.9675 0.9617 0.2418  3 Te 2.96-3.09, 1 Sc 3.21
Te: 0.0677 0.7500 0.5111  6 Sc 2.96-3.09, 2 Sm 3.10-3.17
Te: 0.1810 0.2500 0.7089  6 Sc 2.96-3.03, 3 Sm 3.13-3.26
Te: 0.3190 0.7500 0.2089  6 Sc 2.96-3.03, 3 Sm 3.13-3.26
Te: 0.4323 0.2500 0.0111  6 Sc 2.96-3.09, 2 Sm 3.10-3.17
Te: 0.5677 0.7500 0.9889  6 Sc 2.96-3.09, 2 Sm 3.10-3.17
Te: 0.6810 0.2500 0.7911  6 Sc 2.96-3.03, 3 Sm 3.13-3.26
Te: 0.8190 0.7500 0.2911  6 Sc 2.96-3.03, 3 Sm 3.13-3.26
Te: 0.9323 0.2500 0.4889  6 Sc 2.96-3.09, 2 Sm 3.10-3.17

## Properties
Calculated total energy   -184.00 eV per cell
Energy relative to the lowest polymorph listed for this composition   0 meV/atom